No. 1
Computed, not measured: MgBeF2 after structural relaxation at the PBE level of DFT.

Output
ρ ... 2.2 g cm⁻³
E above lowest polymorph ... 42.4 meV/atom
Space group ... No. 227
Formation energy from raw total energies ... -1944 meV/atom

Cell lengths 5.3785, 5.3785, 5.3785 Å; angles 60.00, 60.00, 60.00 degrees
Last column: nearest neighbours and their distance in Å.
Atoms (fractional coordinates):
1 Mg 0.1250 0.1250 0.1250  12 F 3.15, 4 Be 3.29, 4 Mg 3.29
2 Mg 0.8750 0.8750 0.8750  12 F 3.15, 4 Mg 3.29, 4 Be 3.29
3 Be 0.3750 0.3750 0.3750  4 F 1.65
4 Be 0.6250 0.6250 0.6250  4 F 1.65
5 F 0.0000 0.5000 0.5000  2 Be 1.65
6 F 0.5000 0.0000 0.5000  2 Be 1.65
7 F 0.5000 0.5000 0.0000  2 Be 1.65
8 F 0.5000 0.5000 0.5000  2 Be 1.65



No. 2
Computed, not measured: Tb12DyY6 after structural relaxation at the PBE level of DFT.

Output
ρ ... 6.8 g cm⁻³
E above lowest polymorph ... 0.0 meV/atom
Space group ... No. 166
Formation enthalpy at 0 K ... 0.21 eV/atom

Cell lengths 8.7083, 8.7083, 8.7083 Å; angles 98.52, 98.52, 98.52 degrees
Last column: nearest neighbours and their distance in Å.
Atoms (fractional coordinates):
1 Tb 0.0000 0.2572 0.7428  6 Tb 3.34-3.54, 4 Y 3.46-3.57
2 Tb 0.0000 0.7428 0.2572  6 Tb 3.34-3.54, 4 Y 3.46-3.57
3 Tb 0.1447 0.1447 0.4182  6 Tb 3.34-3.61, 2 Y 3.70
4 Tb 0.1447 0.4182 0.1447  6 Tb 3.34-3.61, 2 Y 3.70
5 Tb 0.2572 0.0000 0.7428  6 Tb 3.34-3.54, 4 Y 3.46-3.57
6 Tb 0.2572 0.7428 0.0000  6 Tb 3.34-3.54, 4 Y 3.46-3.57
7 Tb 0.4182 0.1447 0.1447  6 Tb 3.34-3.61, 2 Y 3.70
8 Tb 0.5818 0.8553 0.8553  6 Tb 3.34-3.61, 2 Y 3.70
9 Tb 0.7428 0.0000 0.2572  6 Tb 3.34-3.54, 4 Y 3.46-3.57
10 Tb 0.7428 0.2572 0.0000  6 Tb 3.34-3.54, 4 Y 3.46-3.57
11 Tb 0.8553 0.5818 0.8553  6 Tb 3.34-3.61, 2 Y 3.70
12 Tb 0.8553 0.8553 0.5818  6 Tb 3.34-3.61, 2 Y 3.70
13 Dy 0.5000 0.5000 0.5000  6 Y 3.41
14 Y 0.1594 0.5997 0.5997  1 Y 3.16, 1 Dy 3.41, 2 Tb 3.46
15 Y 0.4003 0.4003 0.8406  1 Y 3.16, 1 Dy 3.41, 2 Tb 3.46
16 Y 0.4003 0.8406 0.4003  1 Y 3.16, 1 Dy 3.41, 2 Tb 3.46
17 Y 0.5997 0.1594 0.5997  1 Y 3.16, 1 Dy 3.41, 2 Tb 3.46
18 Y 0.5997 0.5997 0.1594  1 Y 3.16, 1 Dy 3.41, 2 Tb 3.46
19 Y 0.8406 0.4003 0.4003  1 Y 3.16, 1 Dy 3.41, 2 Tb 3.46



No. 3
Computed, not measured: LaAsRuO after structural relaxation at the PBE level of DFT.

Output
ρ ... 7.5 g cm⁻³
E above lowest polymorph ... 0.0 meV/atom
Space group ... No. 129
Formation energy from raw total energies ... -1932 meV/atom

Cell lengths 4.1496, 4.1496, 8.5644 Å; angles 90.00, 90.00, 90.00 degrees
Last column: nearest neighbours and their distance in Å.
Atoms (fractional coordinates):
1 La 0.2500 0.2500 0.1393  4 O 2.39
2 La 0.7500 0.7500 0.8607  4 O 2.39
3 As 0.2500 0.2500 0.6513  4 Ru 2.45
4 As 0.7500 0.7500 0.3487  4 Ru 2.45
5 Ru 0.2500 0.7500 0.5000  4 As 2.45
6 Ru 0.7500 0.2500 0.5000  4 As 2.45
7 O 0.2500 0.7500 0.0000  4 La 2.39
8 O 0.7500 0.2500 0.0000  4 La 2.39



No. 4
Computed, not measured: PrTlAuSe2 after structural relaxation at the PBE level of DFT.

Output
ρ ... 7.5 g cm⁻³
Space group ... No. 13
Formation energy from raw total energies ... -805 meV/atom

Cell lengths 7.2521, 5.3273, 8.2589 Å; angles 90.00, 102.82, 90.00 degrees
Last column: nearest neighbours and their distance in Å.
Atoms (fractional coordinates):
1 Pr 0.0000 0.0025 0.2500  4 Se 2.95-2.96
2 Pr 0.0000 0.9975 0.7500  4 Se 2.95-2.96
3 Tl 0.5000 0.3258 0.7500  6 Se 3.35-3.42
4 Tl 0.5000 0.6742 0.2500  6 Se 3.35-3.42
5 Au 0.0000 0.5000 0.0000  2 Se 2.52
6 Au 0.0000 0.5000 0.5000  2 Se 2.52
7 Se 0.2654 0.1834 0.0504  1 Au 2.52
8 Se 0.2654 0.8166 0.5504  1 Au 2.52
9 Se 0.7346 0.1834 0.4496  1 Au 2.52
10 Se 0.7346 0.8166 0.9496  1 Au 2.52



No. 5
Computed, not measured: MnZn3I after structural relaxation at the PBE level of DFT.

Output
ρ ... 4.8 g cm⁻³
E above lowest polymorph ... 0.0 meV/atom
Space group ... No. 221
Formation energy from raw total energies ... 454 meV/atom

Cell lengths 5.0624, 5.0624, 5.0624 Å; angles 90.00, 90.00, 90.00 degrees
Last column: nearest neighbours and their distance in Å.
Atoms (fractional coordinates):
1 Mn 0.0000 0.0000 0.0000  6 Zn 2.53
2 Zn 0.0000 0.0000 0.5000  2 Mn 2.53
3 Zn 0.0000 0.5000 0.0000  2 Mn 2.53
4 Zn 0.5000 0.0000 0.0000  2 Mn 2.53
5 I 0.5000 0.5000 0.5000  12 Zn 3.58



No. 6
Computed, not measured: KGaPb after structural relaxation at the PBE level of DFT.

Output
ρ ... 5.7 g cm⁻³
Space group ... No. 9
Formation enthalpy at 0 K ... -0.12 eV/atom

Cell lengths 10.0945, 8.3630, 5.0873 Å; angles 90.00, 120.23, 90.00 degrees
Last column: nearest neighbours and their distance in Å.
Atoms (fractional coordinates):
1 K 0.0000 0.1736 0.0000  5 Pb 3.47-3.82, 4 Ga 3.57-3.62, 2 K 3.86
2 K 0.0000 0.8264 0.5000  5 Pb 3.47-3.82, 4 Ga 3.57-3.62, 2 K 3.86
3 K 0.5000 0.3264 0.5000  5 Pb 3.47-3.82, 4 Ga 3.57-3.62, 2 K 3.86
4 K 0.5000 0.6736 0.0000  5 Pb 3.47-3.82, 4 Ga 3.57-3.62, 2 K 3.86
5 Ga 0.1568 0.4326 0.6552  2 Ga 2.78, 2 Pb 2.95-3.03
6 Ga 0.1568 0.5674 0.1552  2 Ga 2.78, 2 Pb 2.95-3.03
7 Ga 0.6568 0.0674 0.1552  2 Ga 2.78, 2 Pb 2.95-3.03
8 Ga 0.6568 0.9326 0.6552  2 Ga 2.78, 2 Pb 2.95-3.03
9 Pb 0.3213 0.1131 0.8214  2 Ga 2.95-3.03, 2 Pb 3.17
10 Pb 0.3213 0.8869 0.3214  2 Ga 2.95-3.03, 2 Pb 3.17
11 Pb 0.8213 0.3869 0.3214  2 Ga 2.95-3.03, 2 Pb 3.17
12 Pb 0.8213 0.6131 0.8214  2 Ga 2.95-3.03, 2 Pb 3.17



No. 7
Computed, not measured: Ca2AsRu after structural relaxation at the PBE level of DFT.

Output
ρ ... 4.4 g cm⁻³
Space group ... No. 38
Formation enthalpy at 0 K ... -0.48 eV/atom

Cell lengths 4.1385, 4.4781, 10.4556 Å; angles 90.00, 90.00, 90.00 degrees
Last column: nearest neighbours and their distance in Å.
Atoms (fractional coordinates):
1 Ca 0.0000 0.0000 0.0000  3 Ru 3.07-3.13, 4 As 3.17
2 Ca 0.0000 0.5000 0.5000  3 Ru 3.07-3.13, 4 As 3.17
3 Ca 0.5000 0.0000 0.2839  3 As 3.06-3.14, 4 Ru 3.17
4 Ca 0.5000 0.5000 0.7839  3 As 3.06-3.14, 4 Ru 3.17
5 As 0.5000 0.0000 0.5839  2 Ru 2.40
6 As 0.5000 0.5000 0.0839  2 Ru 2.40
7 Ru 0.0000 0.0000 0.7009  2 As 2.40
8 Ru 0.0000 0.5000 0.2009  2 As 2.40



No. 8
Computed, not measured: TcAsS2 after structural relaxation at the PBE level of DFT.

Output
ρ ... 5.4 g cm⁻³
Space group ... No. 166
Formation energy from raw total energies ... -42 meV/atom

Cell lengths 3.1871, 3.1871, 24.8041 Å; angles 90.00, 90.00, 120.00 degrees
Last column: nearest neighbours and their distance in Å.
Atoms (fractional coordinates):
1 Tc 0.0000 0.0000 0.0000  6 S 2.41
2 Tc 0.3333 0.6667 0.6667  6 S 2.41
3 Tc 0.6667 0.3333 0.3333  6 S 2.41
4 As 0.0000 0.0000 0.5000  2 S 2.58
5 As 0.3333 0.6667 0.1667  2 S 2.58
6 As 0.6667 0.3333 0.8333  2 S 2.58
7 S 0.0000 0.0000 0.3961  3 Tc 2.41, 1 As 2.58
8 S 0.0000 0.0000 0.6039  3 Tc 2.41, 1 As 2.58
9 S 0.3333 0.6667 0.0628  3 Tc 2.41, 1 As 2.58
10 S 0.3333 0.6667 0.2706  3 Tc 2.41, 1 As 2.58
11 S 0.6667 0.3333 0.7294  3 Tc 2.41, 1 As 2.58
12 S 0.6667 0.3333 0.9372  3 Tc 2.41, 1 As 2.58



No. 9
Computed, not measured: Ac2P3Pd5 after structural relaxation at the PBE level of DFT.

Output
ρ ... 9.2 g cm⁻³
Space group ... No. 72
Formation enthalpy at 0 K ... -0.92 eV/atom

Cell lengths 8.5936, 8.5936, 8.5936 Å; angles 110.32, 85.40, 137.12 degrees
Last column: nearest neighbours and their distance in Å.
Atoms (fractional coordinates):
1 Ac 0.1260 0.2420 0.3680  11 Pd 3.21-3.55, 6 P 3.26-3.36
2 Ac 0.3740 0.7420 0.1161  11 Pd 3.21-3.55, 6 P 3.26-3.36
3 Ac 0.6260 0.2580 0.8839  11 Pd 3.21-3.55, 6 P 3.26-3.36
4 Ac 0.8740 0.7580 0.6320  11 Pd 3.21-3.55, 6 P 3.26-3.36
5 P 0.1211 0.6353 0.7563  5 Pd 2.41-2.56
6 P 0.2500 0.2500 0.0000  4 Pd 2.44
7 P 0.3789 0.1353 0.5142  5 Pd 2.41-2.56
8 P 0.6211 0.8647 0.4858  5 Pd 2.41-2.56
9 P 0.7500 0.7500 0.0000  4 Pd 2.44
10 P 0.8789 0.3647 0.2437  5 Pd 2.41-2.56
11 Pd 0.0289 0.7500 0.2789  2 P 2.41
12 Pd 0.1151 0.8813 0.9963  3 P 2.42-2.44
13 Pd 0.2500 0.7500 0.5000  4 P 2.56, 2 Pd 2.79
14 Pd 0.3849 0.3813 0.7662  3 P 2.42-2.44
15 Pd 0.4711 0.7500 0.7211  2 P 2.41
16 Pd 0.5289 0.2500 0.2789  2 P 2.41
17 Pd 0.6151 0.6187 0.2338  3 P 2.42-2.44
18 Pd 0.7500 0.2500 0.5000  4 P 2.56, 2 Pd 2.79
19 Pd 0.8849 0.1187 0.0037  3 P 2.42-2.44
20 Pd 0.9711 0.2500 0.7211  2 P 2.41



No. 10
Computed, not measured: Tb2GeO6 after structural relaxation at the PBE level of DFT.

Output
ρ ... 6.5 g cm⁻³
Space group ... No. 136
Formation energy from raw total energies ... -2263 meV/atom

Cell lengths 4.9764, 4.9764, 10.0349 Å; angles 90.00, 90.00, 90.00 degrees
Last column: nearest neighbours and their distance in Å.
Atoms (fractional coordinates):
1 Tb 0.0000 0.0000 0.1704  6 O 2.25-2.34
2 Tb 0.0000 0.0000 0.8296  6 O 2.25-2.34
3 Tb 0.5000 0.5000 0.3296  6 O 2.25-2.34
4 Tb 0.5000 0.5000 0.6704  6 O 2.25-2.34
5 Ge 0.0000 0.0000 0.5000  6 O 1.92
6 Ge 0.5000 0.5000 0.0000  6 O 1.92
7 O 0.1832 0.1832 0.3588  1 Ge 1.92
8 O 0.1832 0.1832 0.6412  1 Ge 1.92
9 O 0.2279 0.2279 0.0000  1 Ge 1.92
10 O 0.2721 0.7279 0.5000  1 Ge 1.92
11 O 0.3168 0.6832 0.1412  1 Ge 1.92
12 O 0.3168 0.6832 0.8588  1 Ge 1.92
13 O 0.6832 0.3168 0.1412  1 Ge 1.92
14 O 0.6832 0.3168 0.8588  1 Ge 1.92
15 O 0.7279 0.2721 0.5000  1 Ge 1.92
16 O 0.7721 0.7721 0.0000  1 Ge 1.92
17 O 0.8168 0.8168 0.3588  1 Ge 1.92
18 O 0.8168 0.8168 0.6412  1 Ge 1.92



No. 11
Computed, not measured: FeTe2Rh after structural relaxation at the PBE level of DFT.

Output
ρ ... 7.8 g cm⁻³
Space group ... No. 99
Formation energy from raw total energies ... -63 meV/atom

Cell lengths 3.5058, 3.5058, 7.1452 Å; angles 90.00, 90.00, 90.00 degrees
Last column: nearest neighbours and their distance in Å.
Atoms (fractional coordinates):
1 Fe 0.0000 0.0000 0.0000  5 Te 2.57-2.74, 4 Rh 2.86
2 Te 0.0000 0.0000 0.3601  1 Fe 2.57, 4 Rh 2.73
3 Te 0.5000 0.5000 0.8358  1 Rh 2.60, 4 Fe 2.74
4 Rh 0.5000 0.5000 0.2003  5 Te 2.60-2.73, 4 Fe 2.86



No. 12
Computed, not measured: Cs2HfSc2Se6 after structural relaxation at the PBE level of DFT.

Output
ρ ... 4.9 g cm⁻³
Space group ... No. 12
Formation energy from raw total energies ... -1567 meV/atom

Cell lengths 6.8145, 6.8145, 8.8551 Å; angles 97.51, 97.51, 120.00 degrees
Last column: nearest neighbours and their distance in Å.
Atoms (fractional coordinates):
1 Cs 0.1675 0.8325 0.0000  6 Se 3.57-3.59, 3 Cs 3.92-3.95
2 Cs 0.8325 0.1675 0.0000  6 Se 3.57-3.59, 3 Cs 3.92-3.95
3 Hf 0.0000 0.0000 0.5000  6 Se 2.70-2.71
4 Sc 0.3326 0.6674 0.5000  6 Se 2.74-2.75
5 Sc 0.6674 0.3326 0.5000  6 Se 2.74-2.75
6 Se 0.0621 0.3886 0.6768  1 Hf 2.70, 2 Sc 2.74-2.75
7 Se 0.2703 0.2703 0.3240  1 Hf 2.71, 2 Sc 2.74
8 Se 0.3886 0.0621 0.6768  1 Hf 2.70, 2 Sc 2.74-2.75
9 Se 0.6114 0.9379 0.3232  1 Hf 2.70, 2 Sc 2.74-2.75
10 Se 0.7297 0.7297 0.6760  1 Hf 2.71, 2 Sc 2.74
11 Se 0.9379 0.6114 0.3232  1 Hf 2.70, 2 Sc 2.74-2.75